Material: SmWN2
Method: DFT, GGA-PBE
State: relaxed

a = 5.8303 Å, b = 3.2761 Å, c = 10.6900 Å
α = 90.00°, β = 90.00°, γ = 90.00°
Last column: nearest neighbours and their distance in Å.
Element x y z (fractional)
1 Sm 0.0792 0.2500 0.1445  7 N 2.39-2.53
2 Sm 0.4208 0.7500 0.6445  7 N 2.39-2.53
3 Sm 0.5792 0.2500 0.3555  7 N 2.39-2.53
4 Sm 0.9208 0.7500 0.8555  7 N 2.39-2.53
5 W 0.0639 0.7500 0.4054  5 N 2.12-2.30
6 W 0.4361 0.2500 0.9054  5 N 2.12-2.30
7 W 0.5639 0.7500 0.0946  5 N 2.12-2.30
8 W 0.9361 0.2500 0.5946  5 N 2.12-2.30
9 N 0.1653 0.2500 0.7483  2 W 2.12-2.30
10 N 0.2491 0.7500 0.9898  3 W 2.15-2.16, 1 Sm 2.39
11 N 0.2509 0.2500 0.4898  3 W 2.15-2.16, 1 Sm 2.39
12 N 0.3347 0.7500 0.2483  2 W 2.12-2.30
13 N 0.6653 0.2500 0.7517  2 W 2.12-2.30
14 N 0.7491 0.7500 0.5102  3 W 2.15-2.16, 1 Sm 2.39
15 N 0.7509 0.2500 0.0102  3 W 2.15-2.16, 1 Sm 2.39
16 N 0.8347 0.7500 0.2517  2 W 2.12-2.30

The value obtained for the raw total energy is -9.5619 eV per atom. For the volume, the calculation gives 204 Å³ per cell. Its symmetry is Pnma. As for the relative energy among the computed polymorphs: 0 kJ/mol of formula units.